1.
A plane-wave DFT calculation with GGA-PBE was carried out for a relaxed structure of TmMg. Values from VASP.

**Final energy**: -3.046 eV/atom
**Crystal system**: orthorhombic
**Volume**: 26.48 Å³ per atom
**Magnetic moment**: 0.0 Bohr magnetons per cell

```
&SYSTEM
  ibrav = 0, nat = 10, ntyp = 2
/
ATOMIC_SPECIES
Tm 168.93 Tm.upf
Mg 24.30 Mg.upf
ATOMIC_POSITIONS crystal
Tm 0.0000 0.0000 0.0000
Tm 0.0000 0.1950 0.8060
Tm 0.0000 0.8060 0.1950
Tm 0.5000 0.3076 0.6923
Tm 0.5000 0.6923 0.3076
Mg 0.0000 0.4078 0.5916
Mg 0.0000 0.5916 0.4078
Mg 0.5000 0.0931 0.9092
Mg 0.5000 0.5012 0.5012
Mg 0.5000 0.9092 0.0931
CELL_PARAMETERS angstrom
4.9994 0.0000 0.0000
0.0000 10.5920 2.5000
0.0000 -10.5920 2.5000
```

2.
A plane-wave DFT calculation with GGA-PBE was carried out for a relaxed structure of TmMgU. Values from VASP.

**Final energy**: -4.669 eV/atom
**Crystal system**: cubic
**Volume**: 31.47 Å³ per atom
**Magnetic moment**: 4.1 Bohr magnetons per cell

```
&SYSTEM
  ibrav = 0, nat = 3, ntyp = 3
/
ATOMIC_SPECIES
Tm 168.93 Tm.upf
Mg 24.30 Mg.upf
U 238.03 U.upf
ATOMIC_POSITIONS crystal
Tm 0.0000 0.0000 0.0000
Mg 0.2500 0.2500 0.2500
U 0.5000 0.5000 0.5000
CELL_PARAMETERS angstrom
0.0000 3.6140 3.6140
3.6140 0.0000 3.6140
3.6140 3.6140 0.0000
```

3.
A plane-wave DFT calculation with GGA-PBE was carried out for a relaxed structure of TmMgW. Values from VASP.

**Final energy**: -4.813 eV/atom
**Crystal system**: cubic
**Volume**: 26.40 Å³ per atom
**Magnetic moment**: 2.8 Bohr magnetons per cell

```
&SYSTEM
  ibrav = 0, nat = 3, ntyp = 3
/
ATOMIC_SPECIES
Tm 168.93 Tm.upf
Mg 24.30 Mg.upf
W 183.84 W.upf
ATOMIC_POSITIONS crystal
Tm 0.0000 0.0000 0.0000
Mg 0.7500 0.7500 0.7500
W 0.2500 0.2500 0.2500
CELL_PARAMETERS angstrom
0.0000 3.4086 3.4086
3.4086 0.0000 3.4086
3.4086 3.4086 0.0000
```

4.
A plane-wave DFT calculation with GGA-PBE was carried out for a relaxed structure of YTmMg6. Values from VASP.

**Final energy**: -2.590 eV/atom
**Crystal system**: orthorhombic
**Volume**: 24.73 Å³ per atom
**Magnetic moment**: 0.0 Bohr magnetons per cell

```
&SYSTEM
  ibrav = 0, nat = 8, ntyp = 3
/
ATOMIC_SPECIES
Y 88.91 Y.upf
Tm 168.93 Tm.upf
Mg 24.30 Mg.upf
ATOMIC_POSITIONS crystal
Y 0.0000 0.0000 0.0000
Tm 0.5000 0.6673 0.6673
Mg 0.0000 0.0070 0.4963
Mg 0.0000 0.4963 0.0070
Mg 0.0000 0.4963 0.4963
Mg 0.5000 0.1712 0.1712
Mg 0.5000 0.1713 0.6597
Mg 0.5000 0.6597 0.1713
CELL_PARAMETERS angstrom
5.1632 0.0000 0.0000
0.0000 3.3291 5.7560
0.0000 -3.3291 5.7560
```

5.
A plane-wave DFT calculation with GGA-PBE was carried out for a relaxed structure of Y2Tm2Mg. Values from VASP.

**Final energy**: -4.484 eV/atom
**Crystal system**: tetragonal
**Volume**: 30.15 Å³ per atom
**Magnetic moment**: 0.0 Bohr magnetons per cell

```
&SYSTEM
  ibrav = 0, nat = 10, ntyp = 3
/
ATOMIC_SPECIES
Y 88.91 Y.upf
Tm 168.93 Tm.upf
Mg 24.30 Mg.upf
ATOMIC_POSITIONS crystal
Y 0.1698 0.3302 0.0000
Y 0.3302 0.8302 0.0000
Y 0.6698 0.1698 0.0000
Y 0.8302 0.6698 0.0000
Tm 0.1302 0.6302 0.5000
Tm 0.3698 0.1302 0.5000
Tm 0.6302 0.8698 0.5000
Tm 0.8698 0.3698 0.5000
Mg 0.0000 0.0000 0.5000
Mg 0.5000 0.5000 0.5000
CELL_PARAMETERS angstrom
9.0139 0.0000 0.0000
0.0000 9.0139 0.0000
0.0000 0.0000 3.7104
```

6.
A plane-wave DFT calculation with GGA-PBE was carried out for a relaxed structure of YTmMg6. Values from VASP.

**Final energy**: -2.593 eV/atom
**Crystal system**: tetragonal
**Volume**: 24.26 Å³ per atom
**Magnetic moment**: 0.0 Bohr magnetons per cell

```
&SYSTEM
  ibrav = 0, nat = 8, ntyp = 3
/
ATOMIC_SPECIES
Y 88.91 Y.upf
Tm 168.93 Tm.upf
Mg 24.30 Mg.upf
ATOMIC_POSITIONS crystal
Y 0.0000 0.0000 0.0000
Tm 0.5000 0.5000 0.5000
Mg 0.0000 0.0000 0.5000
Mg 0.0000 0.5000 0.2527
Mg 0.0000 0.5000 0.7473
Mg 0.5000 0.0000 0.2527
Mg 0.5000 0.0000 0.7473
Mg 0.5000 0.5000 0.0000
CELL_PARAMETERS angstrom
5.1525 0.0000 0.0000
0.0000 5.1525 0.0000
0.0000 0.0000 7.3101
```

7.
A plane-wave DFT calculation with GGA-PBE was carried out for a relaxed structure of YTmMg6. Values from VASP.

**Final energy**: -2.593 eV/atom
**Crystal system**: orthorhombic
**Volume**: 24.32 Å³ per atom
**Magnetic moment**: 0.0 Bohr magnetons per cell

```
&SYSTEM
  ibrav = 0, nat = 8, ntyp = 3
/
ATOMIC_SPECIES
Y 88.91 Y.upf
Tm 168.93 Tm.upf
Mg 24.30 Mg.upf
ATOMIC_POSITIONS crystal
Y 0.0000 0.0000 0.0000
Tm 0.5000 0.5000 0.4923
Mg 0.0000 0.2532 0.5005
Mg 0.0000 0.5000 0.9996
Mg 0.0000 0.7468 0.5005
Mg 0.5000 0.0000 0.4934
Mg 0.5000 0.2532 0.9920
Mg 0.5000 0.7468 0.9920
CELL_PARAMETERS angstrom
5.1560 0.0000 0.0000
0.0000 7.3159 0.0000
0.0000 0.0000 5.1571
```

8.
A plane-wave DFT calculation with GGA-PBE was carried out for a relaxed structure of TmMgZn. Values from VASP.

**Final energy**: -1.979 eV/atom
**Crystal system**: cubic
**Volume**: 27.16 Å³ per atom
**Magnetic moment**: 0.0 Bohr magnetons per cell

```
&SYSTEM
  ibrav = 0, nat = 3, ntyp = 3
/
ATOMIC_SPECIES
Tm 168.93 Tm.upf
Mg 24.30 Mg.upf
Zn 65.41 Zn.upf
ATOMIC_POSITIONS crystal
Tm 0.0000 0.0000 0.0000
Mg 0.7500 0.7500 0.7500
Zn 0.2500 0.2500 0.2500
CELL_PARAMETERS angstrom
0.0000 3.4407 3.4407
3.4407 0.0000 3.4407
3.4407 3.4407 0.0000
```

9.
A plane-wave DFT calculation with GGA-PBE was carried out for a relaxed structure of TmMgZn2. Values from VASP.

**Final energy**: -2.463 eV/atom
**Crystal system**: tetragonal
**Volume**: 19.22 Å³ per atom
**Magnetic moment**: 0.0 Bohr magnetons per cell

```
&SYSTEM
  ibrav = 0, nat = 4, ntyp = 3
/
ATOMIC_SPECIES
Tm 168.93 Tm.upf
Mg 24.30 Mg.upf
Zn 65.41 Zn.upf
ATOMIC_POSITIONS crystal
Tm 0.0000 0.0000 0.0000
Mg 0.5000 0.5000 0.0000
Zn 0.2500 0.7500 0.5000
Zn 0.7500 0.2500 0.5000
CELL_PARAMETERS angstrom
-2.3882 2.3882 3.3704
2.3882 -2.3882 3.3704
2.3882 2.3882 -3.3704
```

10.
A plane-wave DFT calculation with GGA-PBE was carried out for a relaxed structure of TmMgZn. Values from VASP.

**Final energy**: -2.465 eV/atom
**Crystal system**: cubic
**Volume**: 24.47 Å³ per atom
**Magnetic moment**: 1.0 Bohr magnetons per cell

```
&SYSTEM
  ibrav = 0, nat = 3, ntyp = 3
/
ATOMIC_SPECIES
Tm 168.93 Tm.upf
Mg 24.30 Mg.upf
Zn 65.41 Zn.upf
ATOMIC_POSITIONS crystal
Tm 0.0000 0.0000 0.0000
Mg 0.5000 0.5000 0.5000
Zn 0.7500 0.7500 0.7500
CELL_PARAMETERS angstrom
0.0000 3.3232 3.3232
3.3232 0.0000 3.3232
3.3232 3.3232 0.0000
```

11.
A plane-wave DFT calculation with GGA-PBE was carried out for a relaxed structure of MgU. Values from VASP.

**Final energy**: -6.168 eV/atom
**Crystal system**: hexagonal
**Volume**: 21.98 Å³ per atom
**Magnetic moment**: 2.0 Bohr magnetons per cell

```
&SYSTEM
  ibrav = 0, nat = 2, ntyp = 2
/
ATOMIC_SPECIES
Mg 24.30 Mg.upf
U 238.03 U.upf
ATOMIC_POSITIONS crystal
Mg 0.0000 0.0000 0.0000
U 0.6667 0.3333 0.5000
CELL_PARAMETERS angstrom
2.9719 0.0000 0.0000
-1.4859 2.5737 0.0000
0.0000 0.0000 5.7460
```

12.
A plane-wave DFT calculation with GGA-PBE was carried out for a relaxed structure of MgU. Values from VASP.

**Final energy**: -6.054 eV/atom
**Crystal system**: orthorhombic
**Volume**: 22.27 Å³ per atom
**Magnetic moment**: 1.8 Bohr magnetons per cell

```
&SYSTEM
  ibrav = 0, nat = 10, ntyp = 2
/
ATOMIC_SPECIES
Mg 24.30 Mg.upf
U 238.03 U.upf
ATOMIC_POSITIONS crystal
Mg 0.0000 0.0000 0.0000
Mg 0.0000 0.1848 0.7893
Mg 0.0000 0.7893 0.1848
Mg 0.5000 0.0748 0.4841
Mg 0.5000 0.4841 0.0748
U 0.0000 0.4234 0.5846
U 0.0000 0.5846 0.4234
U 0.5000 0.2984 0.2984
U 0.5000 0.6773 0.8363
U 0.5000 0.8363 0.6773
CELL_PARAMETERS angstrom
5.0062 0.0000 0.0000
0.0000 7.8208 2.8444
0.0000 -7.8208 2.8444
```

> Which of these has the highest volume?

TmMgU